VASP calculation (PBE) on Pm2SmHoSe4 after structural relaxation.

Its density of states at the Fermi level is 0.586 states/eV/atom. The total energy is -5.89 eV/atom. For the uncorrected formation energy, the calculation gives -14.40 eV/f.u.

The structure belongs to space group P2/m (No. 10); the cell edges are 7.220, 4.098 and 7.249 Å and the angles 90.00°, 108.76° and 90.00°. The asymmetric unit holds Pm at (0.000, 0.000, 0.000), Pm at (0.500, 0.500, 0.000), Sm at (0.000, 0.500, 0.500), Ho at (0.500, 0.000, 0.500), Se at (0.253, 0.000, 0.744) and Se at (0.259, 0.500, 0.260).

VASP calculation (PBE) on Zr2VSb2 after structural relaxation.

Its density of states at the Fermi level is 0.772 states/eV/atom. The relative energy among the computed polymorphs comes out at 0.0 meV per atom. The total energy is -7.26 eV/atom. For the uncorrected formation energy, the calculation gives -1.84 eV/f.u.

The structure belongs to space group Cmc2_1 (No. 36); the cell edges are 3.889, 16.982 and 6.797 Å and the angles 90.00°, 90.00° and 90.00°. The asymmetric unit holds Zr at (0.000, 0.022, 0.000), Zr at (0.000, 0.187, 0.417), V at (0.000, 0.406, 0.193), Sb at (0.000, 0.184, 0.861) and Sb at (0.000, 0.427, 0.788).

VASP calculation (PBE) on ScZn2Ni after structural relaxation.

Its density of states at the Fermi level is 0.675 states/eV/atom. The total energy is -3.74 eV/atom. Its formation energy is -0.29 eV/f.u.

The structure belongs to space group C2/m (No. 12); the cell edges are 5.150, 9.334 and 2.838 Å and the angles 90.00°, 113.36° and 90.00°. The asymmetric unit holds Sc at (0.000, 0.000, 0.000), Zn at (0.250, 0.250, 0.500) and Ni at (0.000, 0.500, 0.000).

VASP calculation (PBE) on CaPr2PuAs4 after structural relaxation.

Its density of states at the Fermi level is 1.791 states/eV/atom. The total energy is -6.79 eV/atom. Its formation energy is -9.85 eV/f.u.

The structure belongs to space group P2/m (No. 10); the cell edges are 7.331, 4.263 and 7.342 Å and the angles 90.00°, 109.31° and 90.00°. The asymmetric unit holds Ca at (0.000, 0.000, 0.000), Pr at (0.500, 0.000, 0.500), Pr at (0.500, 0.500, 0.000), Pu at (0.000, 0.500, 0.500), As at (0.239, 0.000, 0.739) and As at (0.242, 0.500, 0.257).

VASP calculation (PBE) on MnCo3Rh after structural relaxation.

Its density of states at the Fermi level is 1.854 states/eV/atom. The relative energy among the computed polymorphs comes out at 0.0 meV per atom. The total energy is -6.38 eV/atom. Its formation energy is 5.94 eV/f.u.

The structure belongs to space group Pm-3m (No. 221); the cell edges are 4.116, 4.116 and 4.116 Å and the angles 90.00°, 90.00° and 90.00°. The asymmetric unit holds Mn at (0.000, 0.000, 0.000), Co at (0.000, 0.000, 0.500) and Rh at (0.500, 0.500, 0.500).

VASP calculation (PBE) on HfMoH4 after structural relaxation.

Its density of states at the Fermi level is 0.314 states/eV/atom. The relative energy among the computed polymorphs comes out at 8.4 meV per atom. The total energy is -5.95 eV/atom.

The structure belongs to space group Fddd (No. 70, origin choice 2); the cell edges are 6.349, 6.358 and 9.357 Å and the angles 90.00°, 90.00° and 90.00°. The asymmetric unit holds Hf at (0.125, 0.125, 0.125), Mo at (0.125, 0.125, 0.625) and H at (0.116, 0.366, 0.750).

VASP calculation (PBE) on Tb3Er4Tm5 after structural relaxation.

Its density of states at the Fermi level is 1.313 states/eV/atom. The relative energy among the computed polymorphs comes out at 0.0 meV per atom. The total energy is -4.52 eV/atom. Its formation energy is 0.27 eV/f.u.

The structure belongs to space group P-1 (No. 2); the cell edges are 6.067, 7.015 and 8.576 Å and the angles 89.94°, 89.91° and 89.92°. The asymmetric unit holds Tb at (0.000, 0.000, 0.000), Tb at (0.167, 0.250, 0.333), Er at (0.167, 0.750, 0.333), Er at (0.333, 0.500, 0.667), Tm at (0.000, 0.500, 0.000), Tm at (0.334, 0.000, 0.667) and Tm at (0.500, 0.250, 0.000).

VASP calculation (PBE) on HAuO after structural relaxation.

Its density of states at the Fermi level is 0.092 states/eV/atom. The relative energy among the computed polymorphs comes out at 178.2 meV per atom. The total energy is -4.01 eV/atom.

The structure belongs to space group Pmn2_1 (No. 31); the cell edges are 3.134, 4.916 and 4.430 Å and the angles 90.00°, 90.00° and 90.00°. The asymmetric unit holds H at (0.000, 0.081, 0.000), Au at (0.000, 0.391, 0.482) and O at (0.000, 0.042, 0.218).